(1)
Density functional theory data (PBE-GGA) for a relaxed BeHPd4 crystal.

V	149.07	Å³ per cell
electronic total energy	-4.87	eV/atom
Fermi-level density of states	0.41	states/eV/atom

Cell and atoms, written as CIF:
```
data_BeHPd4
_cell_length_a 6.6152
_cell_length_b 6.6152
_cell_length_c 5.1558
_cell_angle_alpha 112.37
_cell_angle_beta 112.37
_cell_angle_gamma 113.46
_space_group_name_H-M_alt 'P 1'
_space_group_IT_number 1
loop_
_space_group_symop_operation_xyz
'x,y,z'
loop_
_atom_site_label
_atom_site_type_symbol
_atom_site_fract_x
_atom_site_fract_y
_atom_site_fract_z
Be1 Be 0.1253 0.8747 0.7500
Be2 Be 0.8747 0.1253 0.2500
H1 H 0.3814 0.6186 0.2500
H2 H 0.6186 0.3814 0.7500
Pd1 Pd 0.1326 0.5419 0.3477
Pd2 Pd 0.1903 0.2824 0.8179
Pd3 Pd 0.2824 0.1903 0.3179
Pd4 Pd 0.4581 0.8674 0.1523
Pd5 Pd 0.5419 0.1326 0.8477
Pd6 Pd 0.7176 0.8097 0.6821
Pd7 Pd 0.8097 0.7176 0.1821
Pd8 Pd 0.8674 0.4581 0.6523
```


(2)
Density functional theory data (PBE-GGA) for a relaxed NdBHPt6 crystal.

V	294.51	Å³ per cell
electronic total energy	-6.07	eV/atom
Fermi-level density of states	0.36	states/eV/atom

Cell and atoms, written as CIF:
```
data_NdBHPt6
_cell_length_a 7.4793
_cell_length_b 7.4793
_cell_length_c 7.4793
_cell_angle_alpha 120.52
_cell_angle_beta 120.07
_cell_angle_gamma 89.49
_space_group_name_H-M_alt 'P 1'
_space_group_IT_number 1
loop_
_space_group_symop_operation_xyz
'x,y,z'
loop_
_atom_site_label
_atom_site_type_symbol
_atom_site_fract_x
_atom_site_fract_y
_atom_site_fract_z
Nd1 Nd 0.3972 0.1472 0.2500
Nd2 Nd 0.6028 0.8528 0.7500
B1 B 0.0000 0.0000 0.5000
B2 B 0.0000 0.5000 0.0000
H1 H 0.0000 0.5000 0.5000
H2 H 0.5000 0.5000 0.0000
Pt1 Pt 0.0928 0.4203 0.2618
Pt2 Pt 0.0928 0.8310 0.6725
Pt3 Pt 0.1014 0.8514 0.2500
Pt4 Pt 0.3055 0.5555 0.7500
Pt5 Pt 0.3415 0.1690 0.7618
Pt6 Pt 0.3415 0.5797 0.1725
Pt7 Pt 0.6585 0.4203 0.8275
Pt8 Pt 0.6585 0.8310 0.2382
Pt9 Pt 0.6945 0.4445 0.2500
Pt10 Pt 0.8986 0.1486 0.7500
Pt11 Pt 0.9072 0.1690 0.3275
Pt12 Pt 0.9072 0.5797 0.7382
```


(3)
Density functional theory data (PBE-GGA) for a relaxed Ba2CeHfS6 crystal.

V	550.91	Å³ per cell
formation energy from raw total energies	-1.84	eV per atom

Cell and atoms, written as CIF:
```
data_Ba2CeHfS6
_cell_length_a 7.2680
_cell_length_b 10.3218
_cell_length_c 7.3436
_cell_angle_alpha 90.00
_cell_angle_beta 90.00
_cell_angle_gamma 90.00
_space_group_name_H-M_alt 'P 1'
_space_group_IT_number 1
loop_
_space_group_symop_operation_xyz
'x,y,z'
loop_
_atom_site_label
_atom_site_type_symbol
_atom_site_fract_x
_atom_site_fract_y
_atom_site_fract_z
Ba1 Ba 0.2500 0.0080 0.2304
Ba2 Ba 0.2500 0.4920 0.2304
Ba3 Ba 0.7500 0.5080 0.7696
Ba4 Ba 0.7500 0.9920 0.7696
Ce1 Ce 0.2500 0.2500 0.7421
Ce2 Ce 0.7500 0.7500 0.2579
Hf1 Hf 0.2500 0.7500 0.7539
Hf2 Hf 0.7500 0.2500 0.2461
S1 S 0.0017 0.7500 0.5200
S2 S 0.0093 0.7500 0.0023
S3 S 0.2500 0.5070 0.7623
S4 S 0.2500 0.9930 0.7623
S5 S 0.4907 0.7500 0.0023
S6 S 0.4983 0.7500 0.5200
S7 S 0.5017 0.2500 0.4800
S8 S 0.5093 0.2500 0.9977
S9 S 0.7500 0.0070 0.2377
S10 S 0.7500 0.4930 0.2377
S11 S 0.9907 0.2500 0.9977
S12 S 0.9983 0.2500 0.4800
```


(4)
Density functional theory data (PBE-GGA) for a relaxed AcTbNi2 crystal.

V	88.98	Å³ per cell
Fermi-level density of states	1.02	states/eV/atom
calculated formation energy	-186	meV per atom

Cell and atoms, written as CIF:
```
data_AcTbNi2
_cell_length_a 5.0112
_cell_length_b 5.0112
_cell_length_c 5.0112
_cell_angle_alpha 60.00
_cell_angle_beta 60.00
_cell_angle_gamma 60.00
_space_group_name_H-M_alt 'P 1'
_space_group_IT_number 1
loop_
_space_group_symop_operation_xyz
'x,y,z'
loop_
_atom_site_label
_atom_site_type_symbol
_atom_site_fract_x
_atom_site_fract_y
_atom_site_fract_z
Ac1 Ac 0.0000 0.0000 0.0000
Tb1 Tb 0.5000 0.5000 0.5000
Ni1 Ni 0.2500 0.2500 0.2500
Ni2 Ni 0.7500 0.7500 0.7500
```


(5)
Density functional theory data (PBE-GGA) for a relaxed V2ReRh crystal.

V	120.90	Å³ per cell
Fermi-level density of states	1.43	states/eV/atom
calculated formation energy	422	meV per atom

Cell and atoms, written as CIF:
```
data_V2ReRh
_cell_length_a 5.4730
_cell_length_b 5.4730
_cell_length_c 5.4730
_cell_angle_alpha 103.20
_cell_angle_beta 103.20
_cell_angle_gamma 122.90
_space_group_name_H-M_alt 'P 1'
_space_group_IT_number 1
loop_
_space_group_symop_operation_xyz
'x,y,z'
loop_
_atom_site_label
_atom_site_type_symbol
_atom_site_fract_x
_atom_site_fract_y
_atom_site_fract_z
V1 V 0.1226 0.6250 0.9976
V2 V 0.3750 0.3726 0.4976
V3 V 0.6274 0.1250 0.0024
V4 V 0.8750 0.8774 0.5024
Re1 Re 0.2500 0.7500 0.5000
Re2 Re 0.5000 0.5000 0.0000
Rh1 Rh 0.0000 0.0000 0.0000
Rh2 Rh 0.7500 0.2500 0.5000
```


(6)
Density functional theory data (PBE-GGA) for a relaxed Te2W crystal.

V	82.89	Å³ per cell
formation energy from raw total energies	0.10	eV per atom
Fermi-level density of states	0.20	states/eV/atom

Cell and atoms, written as CIF:
```
data_Te2W
_cell_length_a 3.5206
_cell_length_b 3.5206
_cell_length_c 7.7218
_cell_angle_alpha 90.14
_cell_angle_beta 90.14
_cell_angle_gamma 60.01
_space_group_name_H-M_alt 'P 1'
_space_group_IT_number 1
loop_
_space_group_symop_operation_xyz
'x,y,z'
loop_
_atom_site_label
_atom_site_type_symbol
_atom_site_fract_x
_atom_site_fract_y
_atom_site_fract_z
Te1 Te 0.1675 0.1675 0.2406
Te2 Te 0.8325 0.8325 0.7594
W1 W 0.5000 0.5000 0.0000
```


(7)
Density functional theory data (PBE-GGA) for a relaxed PmSm7Tm2 crystal.

V	406.65	Å³ per cell
Fermi-level density of states	1.43	states/eV/atom
calculated formation energy	660	meV per atom

Cell and atoms, written as CIF:
```
data_PmSm7Tm2
_cell_length_a 9.1611
_cell_length_b 9.1611
_cell_length_c 5.7129
_cell_angle_alpha 90.00
_cell_angle_beta 90.00
_cell_angle_gamma 121.99
_space_group_name_H-M_alt 'P 1'
_space_group_IT_number 1
loop_
_space_group_symop_operation_xyz
'x,y,z'
loop_
_atom_site_label
_atom_site_type_symbol
_atom_site_fract_x
_atom_site_fract_y
_atom_site_fract_z
Pm1 Pm 0.0000 0.0000 0.0000
Sm1 Sm 0.0626 0.2951 0.5000
Sm2 Sm 0.2258 0.7742 0.0000
Sm3 Sm 0.2951 0.0626 0.5000
Sm4 Sm 0.5000 0.5000 0.5000
Sm5 Sm 0.7049 0.9374 0.5000
Sm6 Sm 0.7742 0.2258 0.0000
Sm7 Sm 0.9374 0.7049 0.5000
Tm1 Tm 0.2957 0.7043 0.5000
Tm2 Tm 0.7043 0.2957 0.5000
```


(8)
Density functional theory data (PBE-GGA) for a relaxed PdBr3N2 crystal.

V	333.10	Å³ per cell
formation energy from raw total energies	0.92	eV per atom
Fermi-level density of states	0.45	states/eV/atom

Cell and atoms, written as CIF:
```
data_PdBr3N2
_cell_length_a 3.8672
_cell_length_b 7.8888
_cell_length_c 11.0858
_cell_angle_alpha 80.39
_cell_angle_beta 87.34
_cell_angle_gamma 89.37
_space_group_name_H-M_alt 'P 1'
_space_group_IT_number 1
loop_
_space_group_symop_operation_xyz
'x,y,z'
loop_
_atom_site_label
_atom_site_type_symbol
_atom_site_fract_x
_atom_site_fract_y
_atom_site_fract_z
Pd1 Pd 0.2010 0.2559 0.1849
Pd2 Pd 0.7990 0.7441 0.8151
Br1 Br 0.1207 0.7586 0.4359
Br2 Br 0.1510 0.9471 0.1623
Br3 Br 0.4364 0.4781 0.7837
Br4 Br 0.5636 0.5219 0.2163
Br5 Br 0.8490 0.0529 0.8377
Br6 Br 0.8793 0.2414 0.5641
N1 N 0.2996 0.7087 0.8158
N2 N 0.3898 0.8054 0.2873
N3 N 0.6102 0.1946 0.7127
N4 N 0.7004 0.2913 0.1842
```